A plane-wave DFT calculation with PBE was carried out for an optimized crystal structure of CsHfF5.

Lattice parameters (Å, degrees): 6.267 6.267 6.267 140.64 110.53 82.88
Element x y z (fractional)
Cs (0.000, 0.000, 0.000)
Hf (0.500, 0.500, 0.000)
F (0.154, 0.356, 0.798)
F (0.442, 0.644, 0.798)
F (0.500, 0.000, 0.500)
F (0.558, 0.356, 0.202)
F (0.846, 0.644, 0.202)

Raw total energy ... -6.436 eV per atom
Magnetization ... 0.08 μB/f.u.
N(E_F) ... 0.000 states/eV/atom
Uncorrected formation energy ... -3555 meV per atom